1.
# Y2HfTeI, single point on PBEsol structure, DFT meta-GGA SCAN
data_Y2HfTeI
_chemical_formula_sum 'Y2 Hf1 Te1 I1'
_space_group_name_H-M_alt 'P 4/m m m'
_space_group_IT_number 123
_space_group_name_Hall '-P 4 2'
_cell_length_a 5.665
_cell_length_b 5.665
_cell_length_c 5.208
_cell_angle_alpha 90.00
_cell_angle_beta 90.00
_cell_angle_gamma 90.00
loop_
_atom_site_label
_atom_site_fract_x
_atom_site_fract_y
_atom_site_fract_z
_atom_site_occupancy
Y1 0.000 0.500 0.000 1
Hf1 0.000 0.000 0.500 1
Te1 0.000 0.000 0.000 1
I1 0.500 0.500 0.500 1
# * crystal system: tetragonal
# * volume: 33.432 Å³ per atom
# * magnetic moment: 2.6 Bohr magnetons per cell
# * formation energy without anion corrections: 28 kJ per mole of atoms



2.
# YMgNi3, single point on PBEsol structure, DFT meta-GGA SCAN
data_YMgNi3
_chemical_formula_sum 'Y1 Mg1 Ni3'
_space_group_name_H-M_alt 'P m -3 m'
_space_group_IT_number 221
_space_group_name_Hall '-P 4 2 3'
_cell_length_a 4.605
_cell_length_b 4.605
_cell_length_c 4.605
_cell_angle_alpha 90.00
_cell_angle_beta 90.00
_cell_angle_gamma 90.00
loop_
_atom_site_label
_atom_site_fract_x
_atom_site_fract_y
_atom_site_fract_z
_atom_site_occupancy
Y1 0.000 0.000 0.000 1
Mg1 0.500 0.500 0.500 1
Ni1 0.000 0.000 0.500 1
# * crystal system: cubic
# * volume: 19.535 Å³ per atom
# * energy of formation: 1.12 eV per atom
# * magnetic moment: 0.0 Bohr magnetons per cell



3.
# ReW2Cl, single point on PBEsol structure, DFT meta-GGA SCAN
data_ReW2Cl
_chemical_formula_sum 'Re1 W2 Cl1'
_space_group_name_H-M_alt 'P 4/m m m'
_space_group_IT_number 123
_space_group_name_Hall '-P 4 2'
_cell_length_a 3.765
_cell_length_b 3.765
_cell_length_c 4.364
_cell_angle_alpha 90.00
_cell_angle_beta 90.00
_cell_angle_gamma 90.00
loop_
_atom_site_label
_atom_site_fract_x
_atom_site_fract_y
_atom_site_fract_z
_atom_site_occupancy
Re1 0.000 0.000 0.000 1
W1 0.000 0.500 0.500 1
Cl1 0.500 0.500 0.000 1
# * crystal system: tetragonal
# * volume: 15.461 Å³ per atom
# * magnetic moment: 0.0 Bohr magnetons per cell
# * relative energy among the computed polymorphs: 1124 meV per atom
# * formation energy without anion corrections: 158 kJ per mole of atoms



4.
# ScAl2Ag, single point on PBEsol structure, DFT meta-GGA SCAN
data_ScAl2Ag
_chemical_formula_sum 'Sc1 Al2 Ag1'
_space_group_name_H-M_alt 'P m m 2'
_space_group_IT_number 25
_cell_length_a 3.065
_cell_length_b 4.490
_cell_length_c 5.352
_cell_angle_alpha 90.00
_cell_angle_beta 90.00
_cell_angle_gamma 90.00
loop_
_space_group_symop_operation_xyz
'x,y,z'
'-x,-y,z'
'-x,y,z'
'x,-y,z'
loop_
_atom_site_label
_atom_site_fract_x
_atom_site_fract_y
_atom_site_fract_z
_atom_site_occupancy
Sc1 0.000 0.000 0.000 1
Al1 0.500 0.000 0.496 1
Al2 0.500 0.500 0.233 1
Ag1 0.500 0.500 0.747 1
# * crystal system: orthorhombic
# * volume: 18.413 Å³ per atom
# * energy of formation: -0.27 eV per atom
# * magnetic moment: 0.0 Bohr magnetons per cell



5.
# ScMnCu2, single point on PBEsol structure, DFT meta-GGA SCAN
data_ScMnCu2
_chemical_formula_sum 'Sc4 Mn4 Cu8'
_space_group_name_H-M_alt 'F -4 3 m'
_space_group_IT_number 216
_space_group_name_Hall 'F -4 2 3'
_cell_length_a 6.068
_cell_length_b 6.068
_cell_length_c 6.068
_cell_angle_alpha 90.00
_cell_angle_beta 90.00
_cell_angle_gamma 90.00
loop_
_atom_site_label
_atom_site_fract_x
_atom_site_fract_y
_atom_site_fract_z
_atom_site_occupancy
Sc1 0.000 0.000 0.000 1
Mn1 0.250 0.250 0.750 1
Cu1 0.000 0.000 0.500 1
Cu2 0.250 0.250 0.250 1
# * crystal system: cubic
# * volume: 13.966 Å³ per atom
# * energy of formation: -0.16 eV per atom
# * magnetic moment: 16.0 Bohr magnetons per cell



6.
# BeCu2Mo, single point on PBEsol structure, DFT meta-GGA SCAN
data_BeCu2Mo
_chemical_formula_sum 'Be2 Cu4 Mo2'
_space_group_name_H-M_alt 'C 1 2/m 1'
_space_group_IT_number 12
_cell_length_a 4.918
_cell_length_b 8.760
_cell_length_c 2.413
_cell_angle_alpha 90.00
_cell_angle_beta 112.40
_cell_angle_gamma 90.00
loop_
_space_group_symop_operation_xyz
'x,y,z'
'-x,-y,-z'
'-x,y,-z'
'x,-y,z'
'x+1/2,y+1/2,z'
'-x+1/2,-y+1/2,-z'
'-x+1/2,y+1/2,-z'
'x+1/2,-y+1/2,z'
loop_
_atom_site_label
_atom_site_fract_x
_atom_site_fract_y
_atom_site_fract_z
_atom_site_occupancy
Be1 0.000 0.000 0.000 1
Cu1 0.250 0.250 0.500 1
Mo1 0.000 0.500 0.000 1
# * crystal system: monoclinic
# * volume: 12.017 Å³ per atom
# * energy of formation: 0.24 eV per atom
# * magnetic moment: 0.0 Bohr magnetons per cell



7.
# Lu2B4O9, single point on PBEsol structure, DFT meta-GGA SCAN
data_Lu2B4O9
_chemical_formula_sum 'Lu4 B8 O18'
_space_group_name_H-M_alt 'P -1'
_space_group_IT_number 2
_cell_length_a 6.026
_cell_length_b 6.264
_cell_length_c 7.376
_cell_angle_alpha 103.09
_cell_angle_beta 97.52
_cell_angle_gamma 102.25
loop_
_space_group_symop_operation_xyz
'x,y,z'
'-x,-y,-z'
loop_
_atom_site_label
_atom_site_fract_x
_atom_site_fract_y
_atom_site_fract_z
_atom_site_occupancy
Lu1 0.052 0.090 0.291 1
Lu2 0.387 0.674 0.359 1
B1 0.125 0.358 0.649 1
B2 0.160 0.689 0.929 1
B3 0.237 0.334 0.980 1
B4 0.496 0.140 0.193 1
O1 0.003 0.797 0.028 1
O2 0.032 0.540 0.748 1
O3 0.085 0.821 0.451 1
O4 0.269 0.263 0.784 1
O5 0.279 0.578 0.044 1
O6 0.283 0.408 0.519 1
O7 0.307 0.879 0.878 1
O8 0.366 0.287 0.148 1
O9 0.427 0.038 0.328 1
# * crystal system: triclinic
# * volume: 8.677 Å³ per atom
# * magnetic moment: 0.0 Bohr magnetons per cell
# * formation energy without anion corrections: -304 kJ per mole of atoms



8.
# MgBe2P, single point on PBEsol structure, DFT meta-GGA SCAN
data_MgBe2P
_chemical_formula_sum 'Mg2 Be4 P2'
_space_group_name_H-M_alt 'C 1 2/m 1'
_space_group_IT_number 12
_cell_length_a 4.854
_cell_length_b 9.287
_cell_length_c 2.722
_cell_angle_alpha 90.00
_cell_angle_beta 119.95
_cell_angle_gamma 90.00
loop_
_space_group_symop_operation_xyz
'x,y,z'
'-x,-y,-z'
'-x,y,-z'
'x,-y,z'
'x+1/2,y+1/2,z'
'-x+1/2,-y+1/2,-z'
'-x+1/2,y+1/2,-z'
'x+1/2,-y+1/2,z'
loop_
_atom_site_label
_atom_site_fract_x
_atom_site_fract_y
_atom_site_fract_z
_atom_site_occupancy
Mg1 0.000 0.000 0.000 1
Be1 0.250 0.250 0.000 1
P1 0.000 0.500 0.000 1
# * crystal system: monoclinic
# * volume: 13.290 Å³ per atom
# * energy of formation: 0.37 eV per atom
# * magnetic moment: 0.0 Bohr magnetons per cell
# * relative energy among the computed polymorphs: 65 meV per atom



Copy entry 2 word for word.
# YMgNi3, single point on PBEsol structure, DFT meta-GGA SCAN
data_YMgNi3
_chemical_formula_sum 'Y1 Mg1 Ni3'
_space_group_name_H-M_alt 'P m -3 m'
_space_group_IT_number 221
_space_group_name_Hall '-P 4 2 3'
_cell_length_a 4.605
_cell_length_b 4.605
_cell_length_c 4.605
_cell_angle_alpha 90.00
_cell_angle_beta 90.00
_cell_angle_gamma 90.00
loop_
_atom_site_label
_atom_site_fract_x
_atom_site_fract_y
_atom_site_fract_z
_atom_site_occupancy
Y1 0.000 0.000 0.000 1
Mg1 0.500 0.500 0.500 1
Ni1 0.000 0.000 0.500 1
# * crystal system: cubic
# * volume: 19.535 Å³ per atom
# * energy of formation: 1.12 eV per atom
# * magnetic moment: 0.0 Bohr magnetons per cell